Crystalline ScAl2Ag at its relaxed geometry, computed with GGA-PBE.

Summary:
Space group: C2 (5)
VASP energy, eV per atom: -4.42

Cell: 5.080 5.080 5.076 Å, 131.22 131.23 71.28°
Fractional positions:
1 Sc 0.500 0.500 0.000
2 Al 0.000 0.000 0.000
3 Al 0.750 0.249 0.500
4 Ag 0.250 0.750 0.500